[1]
LiPaHg2 | PBE-GGA | relaxed

Lattice parameters (Å, degrees): 11.0784 11.0784 11.0784 16.43 16.43 16.43
Fractional positions:
Li: 0.0000 0.0000 0.0000
Pa: 0.5000 0.5000 0.5000
Hg: 0.4012 0.4012 0.4012
Hg: 0.5988 0.5988 0.5988

The crystal system is trigonal. For the formation energy, the calculation gives 0.4 eV/f.u. The value obtained for the density of states at the Fermi level is 5.25 states/eV/f.u. Its energy above the most stable polymorph in this dataset is 217 meV/atom. Its raw total energy is -2.897 eV per atom.



[2]
ZrMn5Cr | PBE-GGA | relaxed

Lattice parameters (Å, degrees): 7.8551 4.6854 9.8236 90.00 90.00 90.00
Fractional positions:
Zr: 0.2474 0.2500 0.0621
Zr: 0.2526 0.7500 0.5621
Zr: 0.7474 0.2500 0.4379
Zr: 0.7526 0.7500 0.9379
Mn: 0.0553 0.7500 0.0834
Mn: 0.0736 0.0126 0.3077
Mn: 0.0736 0.4874 0.3077
Mn: 0.0917 0.2500 0.5230
Mn: 0.1869 0.2500 0.7539
Mn: 0.3131 0.7500 0.2539
Mn: 0.4083 0.7500 0.0230
Mn: 0.4264 0.5126 0.8077
Mn: 0.4264 0.9874 0.8077
Mn: 0.4447 0.2500 0.5834
Mn: 0.5553 0.7500 0.4166
Mn: 0.5736 0.0126 0.1923
Mn: 0.5736 0.4874 0.1923
Mn: 0.5917 0.2500 0.9770
Mn: 0.6869 0.2500 0.7461
Mn: 0.8131 0.7500 0.2461
Mn: 0.9083 0.7500 0.4770
Mn: 0.9264 0.5126 0.6923
Mn: 0.9264 0.9874 0.6923
Mn: 0.9447 0.2500 0.9166
Cr: 0.1356 0.7500 0.8568
Cr: 0.3644 0.2500 0.3568
Cr: 0.6356 0.7500 0.6432
Cr: 0.8644 0.2500 0.1432

The crystal system is orthorhombic. For the formation energy, the calculation gives -0.2 eV/f.u. The value obtained for the density of states at the Fermi level is 8.64 states/eV/f.u. Its raw total energy is -9.178 eV per atom.



[3]
Mg4AgHgPd2 | PBE-GGA | relaxed

Lattice parameters (Å, degrees): 8.0310 8.0310 8.0310 33.69 33.69 33.69
Fractional positions:
Mg: 0.1231 0.1231 0.1231
Mg: 0.3735 0.3735 0.3735
Mg: 0.6265 0.6265 0.6265
Mg: 0.8769 0.8769 0.8769
Ag: 0.0000 0.0000 0.0000
Hg: 0.5000 0.5000 0.5000
Pd: 0.2520 0.2520 0.2520
Pd: 0.7480 0.7480 0.7480

The crystal system is trigonal. For the formation energy, the calculation gives -3.7 eV/f.u. The value obtained for the density of states at the Fermi level is 2.94 states/eV/f.u. Its raw total energy is -2.958 eV per atom.



[4]
LaSnAu3 | PBE-GGA | relaxed

Lattice parameters (Å, degrees): 5.1747 5.1747 5.1747 90.00 90.00 90.00
Fractional positions:
La: 0.0000 0.0000 0.0000
Sn: 0.5000 0.5000 0.5000
Au: 0.0000 0.5000 0.5000
Au: 0.5000 0.0000 0.5000
Au: 0.5000 0.5000 0.0000

The crystal system is cubic. For the formation energy, the calculation gives -0.8 eV/f.u. The value obtained for the density of states at the Fermi level is 3.95 states/eV/f.u. Its energy above the most stable polymorph in this dataset is 410 meV/atom. Its raw total energy is -3.911 eV per atom.



[5]
RbLaGaP2 | PBE-GGA | relaxed

Lattice parameters (Å, degrees): 5.0972 5.0972 5.1383 90.00 90.00 90.00
Fractional positions:
Rb: 0.0000 0.0000 0.0000
La: 0.5000 0.5000 0.0000
Ga: 0.0000 0.0000 0.5000
P: 0.0000 0.5000 0.5000
P: 0.5000 0.0000 0.5000

The crystal system is tetragonal. For the formation energy, the calculation gives 1.6 eV/f.u. The value obtained for the density of states at the Fermi level is 4.95 states/eV/f.u. Its energy above the most stable polymorph in this dataset is 177 meV/atom. Its raw total energy is -3.629 eV per atom.



[6]
CoIr4Rh | PBE-GGA | relaxed

Lattice parameters (Å, degrees): 3.8036 8.0813 5.4246 90.00 90.00 90.00
Fractional positions:
Co: 0.2500 0.2500 0.1263
Co: 0.7500 0.7500 0.8737
Ir: 0.2500 0.5825 0.1214
Ir: 0.2500 0.5845 0.6288
Ir: 0.2500 0.9155 0.6288
Ir: 0.2500 0.9175 0.1214
Ir: 0.7500 0.0825 0.8786
Ir: 0.7500 0.0845 0.3712
Ir: 0.7500 0.4155 0.3712
Ir: 0.7500 0.4175 0.8786
Rh: 0.2500 0.2500 0.6249
Rh: 0.7500 0.7500 0.3751

The crystal system is orthorhombic. For the formation energy, the calculation gives 0.1 eV/f.u. The value obtained for the density of states at the Fermi level is 6.81 states/eV/f.u. Its energy above the most stable polymorph in this dataset is 0 meV/atom. Its raw total energy is -8.304 eV per atom.



[7]
Mg5Cd2InRh2 | PBE-GGA | relaxed

Lattice parameters (Å, degrees): 9.7904 9.7904 4.1921 90.00 90.00 90.00
Fractional positions:
Mg: 0.0000 0.5000 0.0000
Mg: 0.0816 0.2096 0.0000
Mg: 0.2096 0.9184 0.0000
Mg: 0.2904 0.4184 0.0000
Mg: 0.4184 0.7096 0.0000
Mg: 0.5000 0.0000 0.0000
Mg: 0.5816 0.2904 0.0000
Mg: 0.7096 0.5816 0.0000
Mg: 0.7904 0.0816 0.0000
Mg: 0.9184 0.7904 0.0000
Cd: 0.1715 0.6715 0.5000
Cd: 0.3285 0.1715 0.5000
Cd: 0.6715 0.8285 0.5000
Cd: 0.8285 0.3285 0.5000
In: 0.0000 0.0000 0.5000
In: 0.5000 0.5000 0.5000
Rh: 0.1206 0.3794 0.5000
Rh: 0.3794 0.8794 0.5000
Rh: 0.6206 0.1206 0.5000
Rh: 0.8794 0.6206 0.5000

The crystal system is tetragonal. For the formation energy, the calculation gives -2.3 eV/f.u. The value obtained for the density of states at the Fermi level is 3.63 states/eV/f.u. Its raw total energy is -2.954 eV per atom.



[8]
ErScCo10 | PBE-GGA | relaxed

Lattice parameters (Å, degrees): 3.9624 4.8286 8.3740 90.00 90.00 90.00
Fractional positions:
Er: 0.0000 0.0000 0.0000
Sc: 0.0000 0.5000 0.5000
Co: 0.0000 0.0000 0.3411
Co: 0.0000 0.0000 0.6589
Co: 0.0000 0.5000 0.1798
Co: 0.0000 0.5000 0.8202
Co: 0.5000 0.0000 0.5000
Co: 0.5000 0.2502 0.2521
Co: 0.5000 0.2502 0.7479
Co: 0.5000 0.5000 0.0000
Co: 0.5000 0.7498 0.2521
Co: 0.5000 0.7498 0.7479

The crystal system is orthorhombic. For the formation energy, the calculation gives -1.4 eV/f.u. The value obtained for the density of states at the Fermi level is 17.23 states/eV/f.u. Its raw total energy is -6.946 eV per atom.



[9]
K3Pr2PbO6 | PBE-GGA | relaxed

Lattice parameters (Å, degrees): 6.3309 6.3309 6.6757 99.06 99.06 119.99
Fractional positions:
K: 0.0000 0.0000 0.0000
K: 0.3379 0.6621 0.0000
K: 0.6621 0.3379 0.0000
Pr: 0.1669 0.8331 0.5000
Pr: 0.8331 0.1669 0.5000
Pb: 0.5000 0.5000 0.5000
O: 0.0956 0.4340 0.3017
O: 0.2274 0.2274 0.6979
O: 0.4340 0.0956 0.3017
O: 0.5660 0.9044 0.6983
O: 0.7726 0.7726 0.3021
O: 0.9044 0.5660 0.6983

The crystal system is monoclinic. The value obtained for the density of states at the Fermi level is 4.48 states/eV/f.u. Its raw total energy is -5.938 eV per atom. The calculation puts the formation energy from raw total energies at -24.95 eV/f.u.



[10]
Sm2Co3Ni12Ge | PBE-GGA | relaxed

Lattice parameters (Å, degrees): 6.2604 6.2604 6.2604 83.00 83.00 83.00
Fractional positions:
Sm: 0.2270 0.2270 0.2270
Sm: 0.7730 0.7730 0.7730
Co: 0.0000 0.5000 0.5000
Co: 0.5000 0.0000 0.5000
Co: 0.5000 0.5000 0.0000
Ni: 0.0780 0.0780 0.6507
Ni: 0.0780 0.6507 0.0780
Ni: 0.2336 0.6994 0.6994
Ni: 0.3006 0.3006 0.7664
Ni: 0.3006 0.7664 0.3006
Ni: 0.3493 0.9220 0.9220
Ni: 0.6507 0.0780 0.0780
Ni: 0.6994 0.2336 0.6994
Ni: 0.6994 0.6994 0.2336
Ni: 0.7664 0.3006 0.3006
Ni: 0.9220 0.3493 0.9220
Ni: 0.9220 0.9220 0.3493
Ge: 0.5000 0.5000 0.5000

The crystal system is trigonal. For the formation energy, the calculation gives 0.9 eV/f.u. The value obtained for the density of states at the Fermi level is 25.68 states/eV/f.u. Its raw total energy is -5.770 eV per atom.



[11]
Rb3Na3VCl8 | PBE-GGA | relaxed

Lattice parameters (Å, degrees): 8.8704 8.8704 8.8704 56.08 56.08 56.08
Fractional positions:
Rb: 0.0000 0.5000 0.5000
Rb: 0.5000 0.0000 0.5000
Rb: 0.5000 0.5000 0.0000
Na: 0.0000 0.0000 0.5000
Na: 0.0000 0.5000 0.0000
Na: 0.5000 0.0000 0.0000
V: 0.5000 0.5000 0.5000
Cl: 0.2359 0.2359 0.2359
Cl: 0.2677 0.7099 0.7099
Cl: 0.2901 0.2901 0.7323
Cl: 0.2901 0.7323 0.2901
Cl: 0.7099 0.2677 0.7099
Cl: 0.7099 0.7099 0.2677
Cl: 0.7323 0.2901 0.2901
Cl: 0.7641 0.7641 0.7641

The crystal system is trigonal. Its raw total energy is -3.754 eV per atom. The calculation puts the formation energy from raw total energies at -25.55 eV/f.u.



[12]
Tl4In3Ga2 | PBE-GGA | relaxed

Lattice parameters (Å, degrees): 8.8220 8.8220 8.8005 105.59 105.59 22.46
Fractional positions:
Tl: 0.0537 0.0537 0.1809
Tl: 0.3544 0.3544 0.1100
Tl: 0.6456 0.6456 0.8900
Tl: 0.9463 0.9463 0.8191
In: 0.0000 0.0000 0.5000
In: 0.2708 0.2708 0.7113
In: 0.7292 0.7292 0.2887
Ga: 0.3611 0.3611 0.4800
Ga: 0.6389 0.6389 0.5200

The crystal system is monoclinic. For the formation energy, the calculation gives 0.4 eV/f.u. The value obtained for the density of states at the Fermi level is 3.49 states/eV/f.u. Its raw total energy is -2.589 eV per atom.